A geometry-optimized NaNpSb2 structure, computed with GGA-PBE.

- magnetic moment (μB per cell) = 16.258
- offset from the most stable computed form (eV/atom) = 0.119
- total DFT energy (no corrections) (eV/atom) = -5.742

```
data_NaNpSb2
_chemical_formula_sum 'Na4 Np4 Sb8'
_cell_length_a 7.528
_cell_length_b 7.528
_cell_length_c 7.528
_cell_angle_alpha 90.00
_cell_angle_beta 90.00
_cell_angle_gamma 90.00
_symmetry_space_group_name_H-M 'F m -3 m'
_symmetry_Int_Tables_number 225
_symmetry_space_group_name_Hall '-F 4 2 3'
loop_
_atom_site_label
_atom_site_fract_x
_atom_site_fract_y
_atom_site_fract_z
_atom_site_occupancy
Na1 0.000 0.000 0.000 1
Np1 0.000 0.000 0.500 1
Sb1 0.250 0.250 0.250 1
```

A geometry-optimized NaNpSb2 structure, computed with GGA-PBE.

- magnetic moment (μB per cell) = 9.211
- offset from the most stable computed form (eV/atom) = 0.148
- total DFT energy (no corrections) (eV/atom) = -5.713

```
data_NaNpSb2
_chemical_formula_sum 'Na3 Np3 Sb6'
_cell_length_a 4.6125
_cell_length_b 4.6125
_cell_length_c 20.6040
_cell_angle_alpha 90.00
_cell_angle_beta 90.00
_cell_angle_gamma 120.00
_symmetry_space_group_name_H-M 'R -3 m'
_symmetry_Int_Tables_number 166
_symmetry_space_group_name_Hall '-R 3 2"'
loop_
_atom_site_label
_atom_site_fract_x
_atom_site_fract_y
_atom_site_fract_z
_atom_site_occupancy
Na1 0.0000 0.0000 0.0000 1
Np1 0.0000 0.0000 0.5000 1
Sb1 0.0000 0.0000 0.2399 1
```